No. 1
First-principles (GGA-PBE) data for a relaxed Ag2SbPd2 crystal, as listed in the Alexandria database.

POSCAR file:
```
Ag2SbPd2
1.0
-2.774 0.622 1.246
-1.018 -1.650 2.424
3.621 7.134 8.364
Sb Pd Ag
1 2 2
direct
0.000 0.000 0.000
0.273 0.273 0.182
0.727 0.727 0.818
0.541 0.541 0.377
0.459 0.459 0.623
```

Results
* ΔE_f (raw): -0.014 eV/atom
* VASP energy: -4.06 eV/atom
* density: 9.6 g/cm³
* polymorph energy (0 for the lowest one): 84 meV/atom


No. 2
First-principles (GGA-PBE) data for a relaxed AgGeRuO6 crystal, as listed in the Alexandria database.

POSCAR file:
```
AgGeRuO6
1.0
-0.776 2.801 4.208
-1.535 -4.876 -0.146
8.405 -2.748 3.378
O Ag Ru Ge
12 2 2 2
direct
0.375 0.374 0.361
0.375 0.001 0.139
0.999 0.374 0.139
0.374 0.999 0.639
0.999 0.625 0.361
0.001 0.375 0.639
0.374 0.375 0.861
0.625 0.626 0.639
0.626 0.001 0.361
0.001 0.626 0.861
0.626 0.625 0.139
0.625 0.999 0.861
0.000 0.000 0.000
0.000 0.000 0.500
0.333 0.667 0.250
0.667 0.333 0.750
0.333 0.667 0.750
0.667 0.333 0.250
```

Results
* ΔE_f (raw): -0.819 eV/atom
* VASP energy: -5.99 eV/atom
* density: 5.8 g/cm³


No. 3
First-principles (GGA-PBE) data for a relaxed FePt2 crystal, as listed in the Alexandria database.

POSCAR file:
```
FePt2
1.0
-3.841 -1.083 -4.680
0.809 -0.812 6.042
-1.822 3.420 0.704
Pt Fe
4 2
direct
0.746 0.254 0.250
0.422 0.578 0.250
0.578 0.422 0.750
0.254 0.746 0.750
0.915 0.085 0.750
0.085 0.915 0.250
```

Results
* energy of formation: -224 meV per atom
* VASP energy: -7.07 eV/atom
* density: 16.8 g/cm³


No. 4
First-principles (GGA-PBE) data for a relaxed Ca3TlCd2O6 crystal, as listed in the Alexandria database.

POSCAR file:
```
Ca3TlCd2O6
1.0
-3.926 3.537 2.878
2.544 -4.636 2.870
4.609 3.649 -0.283
Ca Cd O Tl
3 2 6 1
direct
0.166 0.834 0.500
0.834 0.166 0.500
0.500 0.500 0.500
0.667 0.333 0.000
0.333 0.667 0.000
0.913 0.568 0.740
0.743 0.743 0.263
0.568 0.913 0.740
0.257 0.257 0.737
0.087 0.432 0.260
0.432 0.087 0.260
0.000 0.000 0.000
```

Results
* ΔE_f (raw): -1.878 eV/atom
* VASP energy: -5.21 eV/atom
* density: 6.2 g/cm³